(1)
# PmAg2AsO6, relaxed, DFT PBE
# * crystal system: triclinic
# * space group: No. 1
# * formation energy without anion corrections: -1.223 eV per atom
data_PmAg2AsO6
_symmetry_space_group_name_H-M 'P 1'
_symmetry_Int_Tables_number 1
_cell_length_a 5.428
_cell_length_b 5.469
_cell_length_c 5.870
_cell_angle_alpha 63.15
_cell_angle_beta 65.52
_cell_angle_gamma 62.25
loop_
_symmetry_equiv_pos_as_xyz
'x,y,z'
loop_
_atom_site_label
_atom_site_type_symbol
_atom_site_fract_x
_atom_site_fract_y
_atom_site_fract_z
Pm1 Pm 0.000 0.000 0.000
Ag1 Ag 0.220 0.195 0.392
Ag2 Ag 0.747 0.729 0.788
As1 As 0.532 0.505 0.453
O1 O 0.197 0.771 0.626
O2 O 0.328 0.572 0.217
O3 O 0.391 0.191 0.658
O4 O 0.638 0.819 0.220
O5 O 0.716 0.381 0.702
O6 O 0.868 0.277 0.252

=====

(2)
# Pm3Ag3AsO8, relaxed, DFT PBE
# * crystal system: monoclinic
# * space group: No. 12
# * formation energy without anion corrections: -1.762 eV per atom
data_Pm3Ag3AsO8
_symmetry_space_group_name_H-M 'P 1'
_symmetry_Int_Tables_number 1
_cell_length_a 6.912
_cell_length_b 6.912
_cell_length_c 6.923
_cell_angle_alpha 119.20
_cell_angle_beta 119.20
_cell_angle_gamma 60.87
loop_
_symmetry_equiv_pos_as_xyz
'x,y,z'
loop_
_atom_site_label
_atom_site_type_symbol
_atom_site_fract_x
_atom_site_fract_y
_atom_site_fract_z
Pm1 Pm 0.000 0.000 0.000
Pm2 Pm 0.000 0.500 0.500
Pm3 Pm 0.500 0.000 0.500
Ag1 Ag 0.000 0.500 0.000
Ag2 Ag 0.500 0.000 0.000
Ag3 Ag 0.500 0.500 0.500
As1 As 0.500 0.500 0.000
O1 O 0.232 0.232 0.269
O2 O 0.279 0.706 0.795
O3 O 0.294 0.294 0.778
O4 O 0.294 0.721 0.205
O5 O 0.706 0.279 0.795
O6 O 0.706 0.706 0.222
O7 O 0.721 0.294 0.205
O8 O 0.768 0.768 0.731

=====

(3)
# Pm3AgAs4O12, relaxed, DFT PBE
# * crystal system: trigonal
# * space group: No. 155
# * formation energy without anion corrections: -1.602 eV per atom
data_Pm3AgAs4O12
_symmetry_space_group_name_H-M 'P 1'
_symmetry_Int_Tables_number 1
_cell_length_a 7.390
_cell_length_b 7.390
_cell_length_c 7.390
_cell_angle_alpha 104.69
_cell_angle_beta 104.69
_cell_angle_gamma 104.69
loop_
_symmetry_equiv_pos_as_xyz
'x,y,z'
loop_
_atom_site_label
_atom_site_type_symbol
_atom_site_fract_x
_atom_site_fract_y
_atom_site_fract_z
Pm1 Pm 0.000 0.558 0.442
Pm2 Pm 0.442 0.000 0.558
Pm3 Pm 0.558 0.442 0.000
Ag1 Ag 0.000 0.000 0.000
As1 As 0.067 0.500 0.933
As2 As 0.500 0.500 0.500
As3 As 0.500 0.933 0.067
As4 As 0.933 0.067 0.500
O1 O 0.014 0.235 0.374
O2 O 0.083 0.917 0.500
O3 O 0.235 0.374 0.014
O4 O 0.335 0.665 0.500
O5 O 0.374 0.014 0.235
O6 O 0.500 0.083 0.917
O7 O 0.500 0.335 0.665
O8 O 0.626 0.765 0.986
O9 O 0.665 0.500 0.335
O10 O 0.765 0.986 0.626
O11 O 0.917 0.500 0.083
O12 O 0.986 0.626 0.765

=====

Number 1: Fermi-level density of states 0.122 states/eV/atom. Number 2: Fermi-level density of states 0.093 states/eV/atom. Number 3: Fermi-level density of states 0.187 states/eV/atom.